Computed, not measured: a PBEsol-optimized structure of BaSrAg at the meta-GGA SCAN level of DFT.

**Formation energy from the elements**: -179 meV/atom
**D(E_F)**: 3.0 states/eV/f.u.
**Polymorph energy (0 for the lowest one)**: 0.00 eV/f.u.
**VASP energy**: -31.24 eV/atom
**Total magnetization**: 0.0 μB per cell

a = 3.9875 Å, b = 3.9875 Å, c = 7.7096 Å
α = 104.99°, β = 104.99°, γ = 90.00°
Fractional coordinates of all 3 atoms:
Sr 0.3720 0.3720 0.7440
Ba 0.6339 0.6339 0.2678
Ag 0.9941 0.9941 0.9882

Computed, not measured: a PBEsol-optimized structure of Ba3SrAg at the meta-GGA SCAN level of DFT.

**Formation energy from the elements**: -77 meV/atom
**D(E_F)**: 3.1 states/eV/f.u.
**VASP energy**: -34.54 eV/atom
**Total magnetization**: 0.0 μB per cell

a = 6.4573 Å, b = 6.4573 Å, c = 6.4573 Å
α = 90.00°, β = 90.00°, γ = 90.00°
Fractional coordinates of all 5 atoms:
Sr 0.5000 0.5000 0.5000
Ba 0.0000 0.5000 0.0000
Ba 0.0000 0.0000 0.5000
Ba 0.5000 0.0000 0.0000
Ag 0.0000 0.0000 0.0000

Computed, not measured: a PBEsol-optimized structure of BaTa2Ag at the meta-GGA SCAN level of DFT.

**Formation energy from the elements**: 533 meV/atom
**D(E_F)**: 3.5 states/eV/f.u.
**Polymorph energy (0 for the lowest one)**: 0.00 eV/f.u.
**VASP energy**: -50.49 eV/atom
**Total magnetization**: 0.0 μB per cell

a = 3.4108 Å, b = 3.4120 Å, c = 8.1120 Å
α = 90.00°, β = 90.00°, γ = 90.00°
Fractional coordinates of all 4 atoms:
Ba 0.5000 0.5000 0.7465
Ag 0.0000 0.0000 0.4401
Ta 0.0000 0.0000 0.0781
Ta 0.5000 0.5000 0.2354

Computed, not measured: a PBEsol-optimized structure of BaTaAg2 at the meta-GGA SCAN level of DFT.

**Formation energy from the elements**: 679 meV/atom
**D(E_F)**: 4.1 states/eV/f.u.
**Polymorph energy (0 for the lowest one)**: 0.20 eV/f.u.
**VASP energy**: -41.54 eV/atom
**Total magnetization**: 0.0 μB per cell

a = 3.0036 Å, b = 5.4177 Å, c = 5.4177 Å
α = 90.00°, β = 90.00°, γ = 90.00°
Fractional coordinates of all 4 atoms:
Ba 0.5000 0.5000 0.5000
Ag 0.0000 0.0000 0.5000
Ag 0.0000 0.5000 0.0000
Ta 0.5000 0.0000 0.0000